Entry 1:
TmZnGaSn: optimized geometry, GGA-PBE.

For the final energy, the calculation gives -3.62 eV/atom. The calculation puts the formation energy at -425 meV/atom. Its density of states at the Fermi level is 0.36 states/eV per atom. As for the volume: 20.80 Å³/atom.

The structure belongs to space group Pmmm (No. 47); the cell edges are 4.305, 4.326 and 4.467 Å and the angles 90.00°, 90.00° and 90.00°. The distinct sites, in fractional coordinates, are Tm at (0.000, 0.000, 0.000), Zn at (0.000, 0.500, 0.500), Ga at (0.500, 0.500, 0.000) and Sn at (0.500, 0.000, 0.500).

***

Entry 2:
ZrAl2Ag2: optimized geometry, GGA-PBE.

For the final energy, the calculation gives -4.46 eV/atom. The calculation puts the formation energy at -116 meV/atom. Its density of states at the Fermi level is 0.57 states/eV per atom. As for the volume: 17.96 Å³/atom. For the energy above the most stable polymorph in this dataset, the calculation gives 0.050 eV per atom.

The structure belongs to space group P4/mbm (No. 127); the cell edges are 7.940, 7.940 and 2.848 Å and the angles 90.00°, 90.00° and 90.00°. The distinct sites, in fractional coordinates, are Zr at (0.000, 0.000, 0.000), Al at (0.173, 0.327, 0.500) and Ag at (0.126, 0.626, 0.000).

***

Entry 3:
MnCo4: optimized geometry, GGA-PBE.

For the final energy, the calculation gives -7.43 eV/atom. The calculation puts the formation energy at 86 meV/atom. Its density of states at the Fermi level is 1.50 states/eV per atom. As for the volume: 11.31 Å³/atom. For the energy above the most stable polymorph in this dataset, the calculation gives 0.000 eV per atom.

The structure belongs to space group I4/m (No. 87); the cell edges are 5.627, 5.627 and 3.573 Å and the angles 90.00°, 90.00° and 90.00°. The distinct sites, in fractional coordinates, are Mn at (0.000, 0.000, 0.000) and Co at (0.093, 0.303, 0.500).

***

Entry 4:
KW2Br: optimized geometry, GGA-PBE.

For the final energy, the calculation gives -4.49 eV/atom. Its density of states at the Fermi level is 1.50 states/eV per atom. As for the volume: 19.29 Å³/atom. For the energy above the most stable polymorph in this dataset, the calculation gives 2.285 eV per atom.

The structure belongs to space group Fm-3m (No. 225); the cell edges are 6.758, 6.758 and 6.758 Å and the angles 90.00°, 90.00° and 90.00°. The distinct sites, in fractional coordinates, are K at (0.000, 0.000, 0.000), W at (0.250, 0.250, 0.250) and Br at (0.000, 0.000, 0.500).

***

Entry 5:
TmFeB: optimized geometry, GGA-PBE.

For the final energy, the calculation gives -6.93 eV/atom. The calculation puts the formation energy at -389 meV/atom. Its density of states at the Fermi level is 0.78 states/eV per atom. As for the volume: 15.25 Å³/atom. For the energy above the most stable polymorph in this dataset, the calculation gives 0.000 eV per atom.

The structure belongs to space group P4/nmm (No. 129, origin choice 2); the cell edges are 3.506, 3.506 and 7.442 Å and the angles 90.00°, 90.00° and 90.00°. The distinct sites, in fractional coordinates, are Tm at (0.250, 0.250, 0.192), Fe at (0.250, 0.750, 0.500) and B at (0.250, 0.250, 0.642).

***

Entry 6:
GdSnRh4: optimized geometry, GGA-PBE.

For the final energy, the calculation gives -8.39 eV/atom. The calculation puts the formation energy at -477 meV/atom. Its density of states at the Fermi level is 0.85 states/eV per atom. As for the volume: 17.58 Å³/atom.

The structure belongs to space group F-43m (No. 216); the cell edges are 7.500, 7.500 and 7.500 Å and the angles 90.00°, 90.00° and 90.00°. The distinct sites, in fractional coordinates, are Gd at (0.000, 0.000, 0.000), Sn at (0.250, 0.250, 0.250) and Rh at (0.124, 0.124, 0.624).

***

Entry 7:
Ca2LaEu: optimized geometry, GGA-PBE.

For the final energy, the calculation gives -4.73 eV/atom. The calculation puts the formation energy at 67 meV/atom. Its density of states at the Fermi level is 2.41 states/eV per atom. As for the volume: 40.85 Å³/atom. For the energy above the most stable polymorph in this dataset, the calculation gives 0.000 eV per atom.

The structure belongs to space group P4/mmm (No. 123); the cell edges are 4.305, 4.305 and 8.814 Å and the angles 90.00°, 90.00° and 90.00°. The distinct sites, in fractional coordinates, are Ca at (0.000, 0.000, 0.245), La at (0.500, 0.500, 0.000) and Eu at (0.500, 0.500, 0.500).

***

Entry 8:
La6IrS5: optimized geometry, GGA-PBE.

For the final energy, the calculation gives -6.84 eV/atom. Its density of states at the Fermi level is 0.63 states/eV per atom. As for the volume: 25.88 Å³/atom.

The structure belongs to space group C2/m (No. 12); the cell edges are 7.262, 12.541 and 7.234 Å and the angles 90.00°, 109.48° and 90.00°. The distinct sites, in fractional coordinates, are La at (0.246, 0.164, 0.247), La at (0.247, 0.000, 0.752), Ir at (0.000, 0.000, 0.000), S at (0.000, 0.170, 0.500), S at (0.000, 0.334, 0.000) and S at (0.000, 0.500, 0.500).

***

Entry 9:
Tl2In6HgPb3: optimized geometry, GGA-PBE.

For the final energy, the calculation gives -2.52 eV/atom. The calculation puts the formation energy at 199 meV/atom. Its density of states at the Fermi level is 0.60 states/eV per atom. As for the volume: 33.91 Å³/atom.

The structure belongs to space group P4/mmm (No. 123); the cell edges are 4.388, 4.388 and 21.135 Å and the angles 90.00°, 90.00° and 90.00°. The distinct sites, in fractional coordinates, are Tl at (0.000, 0.000, 0.189), In at (0.000, 0.500, 0.399), In at (0.500, 0.500, 0.140), Hg at (0.000, 0.000, 0.500), Pb at (0.500, 0.500, 0.000) and Pb at (0.500, 0.500, 0.288).

***

Entry 10:
ZnIrS2Br: optimized geometry, GGA-PBE.

For the final energy, the calculation gives -2.82 eV/atom. Its density of states at the Fermi level is 1.15 states/eV per atom. As for the volume: 21.35 Å³/atom.

The structure belongs to space group P4/mmm (No. 123); the cell edges are 4.445, 4.445 and 5.402 Å and the angles 90.00°, 90.00° and 90.00°. The distinct sites, in fractional coordinates, are Zn at (0.000, 0.000, 0.000), Ir at (0.000, 0.000, 0.500), S at (0.000, 0.500, 0.000) and Br at (0.500, 0.500, 0.500).

***

Entry 11:
Tb3NdY4: optimized geometry, GGA-PBE.

For the final energy, the calculation gives -5.55 eV/atom. The calculation puts the formation energy at 10 meV/atom. Its density of states at the Fermi level is 1.79 states/eV per atom. As for the volume: 32.97 Å³/atom. For the energy above the most stable polymorph in this dataset, the calculation gives 0.000 eV per atom.

The structure belongs to space group Pmn2_1 (No. 31); the cell edges are 11.386, 7.323 and 6.326 Å and the angles 90.00°, 90.00° and 90.00°. The distinct sites, in fractional coordinates, are Tb at (0.000, 0.125, 0.000), Tb at (0.250, 0.125, 0.331), Nd at (0.000, 0.875, 0.501), Y at (0.000, 0.375, 0.498), Y at (0.000, 0.625, 0.998) and Y at (0.249, 0.375, 0.834).

***

Entry 12:
Sm3Th4N8: optimized geometry, GGA-PBE.

For the final energy, the calculation gives -8.73 eV/atom. Its density of states at the Fermi level is 0.21 states/eV per atom. As for the volume: 18.03 Å³/atom.

The structure belongs to space group C2/m (No. 12); the cell edges are 10.157, 10.277 and 7.225 Å and the angles 90.00°, 134.17° and 90.00°. The distinct sites, in fractional coordinates, are Sm at (0.000, 0.000, 0.000), Sm at (0.250, 0.250, 0.000), Th at (0.000, 0.000, 0.500), Th at (0.000, 0.500, 0.000), Th at (0.250, 0.250, 0.500), N at (0.000, 0.234, 0.500), N at (0.000, 0.250, 0.000), N at (0.240, 0.000, 0.964) and N at (0.241, 0.000, 0.508).

***

Question: Look up the density of states at the Fermi level of the fifth one.
Answer: 0.78 states/eV per atom

***

Question: The lowest density of states at the Fermi level belongs to which entry?
Answer: Sm3Th4N8